Entry 1:
Here is a relaxed LuTcW crystal from the Alexandria database. Energies are from PBE.

Cell: 3.207 3.207 10.618 Å, 90.00 90.00 90.00°
Space group I4mm (No. 107)
Symmetry-distinct sites (fractional):
Lu 0.000 0.000 0.000
Tc 0.000 0.000 0.318
W 0.000 0.000 0.690

Fermi-level density of states: 3.9 states/eV/cell
Formation energy from the elements: -0.0096 eV per atom

Entry 2:
Here is a relaxed LuTc4W crystal from the Alexandria database. Energies are from PBE.

Cell: 7.362 7.362 7.362 Å, 90.00 90.00 90.00°
Space group F-43m (No. 216)
Symmetry-distinct sites (fractional):
Lu 0.000 0.000 0.000
Tc 0.125 0.125 0.375
W 0.250 0.250 0.750

Fermi-level density of states: 30.2 states/eV/cell
Formation energy from the elements: 0.0540 eV per atom

Entry 3:
Here is a relaxed YLuTc crystal from the Alexandria database. Energies are from PBE.

Cell: 3.447 3.447 12.225 Å, 90.00 90.00 90.00°
Space group I4mm (No. 107)
Symmetry-distinct sites (fractional):
Y 0.000 0.000 0.000
Lu 0.000 0.000 0.263
Tc 0.000 0.000 0.637

Fermi-level density of states: 6.9 states/eV/cell
Formation energy from the elements: -0.0749 eV per atom